The following is a GGA-PBE calculation of an optimized crystal structure of InSeCl, from Alexandria.

E: -3.14 eV per atom
Total magnetic moment: 0.0 μB per formula unit
SG: No. 42

The structure in POSCAR format:
```
InSeCl
1.0
8.099 -0.019 0.010
6.183 3.928 -0.011
1.916 -2.077 3.356
In Cl Se
1 1 1
Direct
0.328 0.328 0.672
0.962 0.962 0.038
0.710 0.710 0.290
```